[1]
A plane-wave DFT calculation with PBE-GGA was carried out for a geometry-optimized DyGa3CuAg structure.

Structure (POSCAR):
```
DyGa3CuAg
1.0
6.453 0.000 0.000
0.000 5.784 0.000
0.000 -2.892 6.196
Dy Ga Cu Ag
2 6 2 2
Direct
0.750 0.303 0.606
0.250 0.697 0.394
0.250 0.130 0.259
0.000 0.277 0.000
0.500 0.723 0.000
0.500 0.277 0.000
0.000 0.723 0.000
0.750 0.870 0.741
0.250 0.917 0.834
0.750 0.083 0.166
0.250 0.342 0.684
0.750 0.658 0.316
```

**Magnetization**: 0.00 μB/cell
**D(E_F)**: 2.5 states/eV/f.u.
**Energy relative to the elements**: -146 meV/atom

***

[2]
A plane-wave DFT calculation with PBE-GGA was carried out for a geometry-optimized Ca2LaCoAg structure.

Structure (POSCAR):
```
Ca2LaCoAg
1.0
5.463 0.000 0.000
0.000 5.463 0.000
0.000 0.000 5.005
Ca Co Ag La
2 1 1 1
Direct
0.000 0.500 0.000
0.500 0.000 0.000
0.000 0.000 0.000
0.500 0.500 0.500
0.000 0.000 0.500
```

**Magnetization**: 0.00 μB/cell
**D(E_F)**: 4.5 states/eV/f.u.
**Energy relative to the elements**: 13 meV/atom

***

[3]
A plane-wave DFT calculation with PBE-GGA was carried out for a geometry-optimized SbIrPbI2 structure.

Structure (POSCAR):
```
SbIrPbI2
1.0
-3.374 -3.977 -3.129
4.557 -4.023 0.200
-2.223 -2.256 5.264
Pb I Ir Sb
1 2 1 1
Direct
0.000 0.000 0.000
0.000 0.500 0.000
0.500 0.000 0.000
0.500 0.500 0.500
0.000 0.000 0.500
```

**E above lowest polymorph**: 1.124 eV/atom
**ΔE_f (raw)**: 1.441 eV/atom
**Magnetization**: 1.32 μB/cell
**D(E_F)**: 5.2 states/eV/f.u.

***

[4]
A plane-wave DFT calculation with PBE-GGA was carried out for a geometry-optimized Ca2TlCl structure.

Structure (POSCAR):
```
Ca2TlCl
1.0
-1.487 -1.173 -3.617
-1.000 -3.908 -0.629
-8.405 -0.183 1.203
Tl Ca Cl
1 2 1
Direct
0.250 0.250 0.250
0.003 0.003 0.992
0.497 0.497 0.508
0.750 0.750 0.750
```

**E above lowest polymorph**: 0.045 eV/atom
**ΔE_f (raw)**: -1.010 eV/atom
**Magnetization**: 0.00 μB/cell
**D(E_F)**: 1.0 states/eV/f.u.

***

[5]
A plane-wave DFT calculation with PBE-GGA was carried out for a geometry-optimized Sr2DyMg structure.

Structure (POSCAR):
```
Sr2DyMg
1.0
-1.629 0.182 3.374
-3.442 -1.405 0.499
3.446 -11.896 4.389
Sr Mg Dy
2 1 1
Direct
0.092 0.092 0.725
0.908 0.908 0.275
0.500 0.500 0.500
0.000 0.000 0.000
```

**E above lowest polymorph**: 0.185 eV/atom
**Magnetization**: 0.55 μB/cell
**D(E_F)**: 4.9 states/eV/f.u.
**Energy relative to the elements**: 337 meV/atom

***

[6]
A plane-wave DFT calculation with PBE-GGA was carried out for a geometry-optimized NbGaRh2Br structure.

Structure (POSCAR):
```
NbGaRh2Br
1.0
4.824 0.000 0.000
0.000 5.095 0.000
0.000 0.000 4.824
Nb Rh Ga Br
1 2 1 1
Direct
0.000 0.000 0.000
0.000 0.000 0.500
0.500 0.000 0.000
0.500 0.500 0.500
0.000 0.500 0.000
```

**ΔE_f (raw)**: 0.651 eV/atom
**Magnetization**: 0.00 μB/cell
**D(E_F)**: 2.9 states/eV/f.u.

***

[7]
A plane-wave DFT calculation with PBE-GGA was carried out for a geometry-optimized CsGeS2 structure.

Structure (POSCAR):
```
CsGeS2
1.0
-5.753 2.572 3.937
-3.660 -6.354 -1.197
-2.750 -3.791 5.470
Cs Ge S
2 2 4
Direct
0.000 0.000 0.000
0.750 0.250 0.500
0.500 0.500 0.000
0.250 0.750 0.500
0.490 0.125 0.250
0.260 0.625 0.250
0.375 0.510 0.750
0.875 0.740 0.750
```

**ΔE_f (raw)**: -0.635 eV/atom
**Magnetization**: 0.00 μB/cell
**D(E_F)**: 0.1 states/eV/f.u.

***

[8]
A plane-wave DFT calculation with PBE-GGA was carried out for a geometry-optimized Ca3ScPb structure.

Structure (POSCAR):
```
Ca3ScPb
1.0
-4.589 2.955 -2.426
-0.409 -4.148 -4.278
-3.801 -3.121 3.389
Pb Sc Ca
1 1 3
Direct
0.000 0.000 0.000
0.500 0.500 0.500
0.000 0.500 0.000
0.000 0.000 0.500
0.500 0.000 0.000
```

**E above lowest polymorph**: 0.000 eV/atom
**Magnetization**: 1.89 μB/cell
**D(E_F)**: 9.3 states/eV/f.u.
**Energy relative to the elements**: 274 meV/atom